## TaTeRu2 (PBE-GGA)

Data for a relaxed structure of TaTeRu2.

Its electronic total energy is -8.27 eV per atom. Its uncorrected formation energy is 0.118 eV per atom.

a b c (Å): 5.0474 5.0474 4.6034
angles (deg): 81.64 81.64 35.98
Element x y z (fractional)
Ru 0.0070 0.0070 0.0063
Ru 0.7512 0.7512 0.7290
Ta 0.4883 0.4883 0.5504
Te 0.2535 0.2535 0.2144

## PmNd4Ir (PBE-GGA)

Data for a relaxed structure of PmNd4Ir.

Its electronic total energy is -5.64 eV per atom.

a b c (Å): 6.0455 7.7327 9.6169
angles (deg): 113.71 108.37 90.00
Element x y z (fractional)
Pm 0.8018 0.8018 0.6036
Pm 0.1982 0.1982 0.3964
Nd 0.1683 0.6683 0.3365
Nd 0.3833 0.1333 0.7669
Nd 0.0000 0.2022 0.0000
Nd 0.6167 0.3664 0.2331
Nd 0.8317 0.3317 0.6635
Nd 0.6167 0.8667 0.2331
Nd 0.0000 0.7978 0.0000
Nd 0.3833 0.6336 0.7669
Ir 0.2698 0.5000 0.9999
Ir 0.7302 0.5000 0.0001

## Pm2CuSn (PBE-GGA)

Data for a relaxed structure of Pm2CuSn.

Its electronic total energy is -4.83 eV per atom. The value obtained for the excess energy over the best structure of this formula in the dataset is 0 meV per atom.

a b c (Å): 5.2841 5.2841 5.2841
angles (deg): 60.00 60.00 60.00
Element x y z (fractional)
Sn 0.0000 0.0000 0.0000
Cu 0.5000 0.5000 0.5000
Pm 0.2500 0.2500 0.2500
Pm 0.7500 0.7500 0.7500

## Ta2MnPt (PBE-GGA)

Data for a relaxed structure of Ta2MnPt.

Its electronic total energy is -9.94 eV per atom.

a b c (Å): 2.8780 2.8780 7.9632
angles (deg): 90.00 90.00 90.19
Last column: magnetic moment on the atom in μB.
Element x y z (fractional)
Mn 0.0000 0.0000 0.5105  3.30
Pt 0.5000 0.5000 0.7370  0.19
Ta 0.0000 0.0000 0.9857  0.00
Ta 0.5000 0.5000 0.2669  -0.07

## MgOsPb2 (PBE-GGA)

Data for a relaxed structure of MgOsPb2.

Its electronic total energy is -4.56 eV per atom.

a b c (Å): 3.3552 3.3552 8.1309
angles (deg): 90.00 90.00 90.01
Element x y z (fractional)
Mg 0.5000 0.5000 0.2500
Os 0.5000 0.5000 0.7500
Pb 0.0000 0.0000 0.9595
Pb 0.0000 0.0000 0.5405

## Pm6PrHo3Er2 (PBE-GGA)

Data for a relaxed structure of Pm6PrHo3Er2.

Its electronic total energy is -4.66 eV per atom.

a b c (Å): 6.2436 6.2436 11.8757
angles (deg): 95.01 95.01 119.99
Element x y z (fractional)
Pm 0.9157 0.5812 0.7483
Pm 0.7499 0.7499 0.2516
Pm 0.0843 0.4188 0.2517
Pm 0.5812 0.9157 0.7483
Pm 0.2501 0.2501 0.7484
Pm 0.4188 0.0843 0.2517
Pr 0.0000 0.0000 0.0000
Ho 0.1669 0.8331 0.5000
Ho 0.8331 0.1669 0.5000
Ho 0.5000 0.5000 0.5000
Er 0.3335 0.6665 0.0000
Er 0.6665 0.3335 0.0000

What is the electronic total energy in the sixth record?
-4.66 eV per atom